DFT (PBE-GGA) results for a relaxed structure of PmEr5Tl3.

Unit cell a=6.695 b=9.344 c=9.343 alpha=120.00 beta=90.00 gamma=90.00
Element x y z (fractional)
Pm (0.000, 0.000, 0.000)
Pm (0.500, 0.000, 0.000)
Er (0.000, 0.667, 0.333)
Er (0.500, 0.333, 0.667)
Er (0.000, 0.333, 0.667)
Er (0.500, 0.667, 0.333)
Er (0.750, 0.669, 0.669)
Er (0.750, 0.000, 0.331)
Er (0.750, 0.331, 0.000)
Er (0.250, 0.331, 0.331)
Er (0.250, 0.000, 0.669)
Er (0.250, 0.669, 0.000)
Tl (0.750, 0.339, 0.339)
Tl (0.750, 0.000, 0.661)
Tl (0.750, 0.661, 0.000)
Tl (0.250, 0.661, 0.661)
Tl (0.250, 0.000, 0.339)
Tl (0.250, 0.339, 0.000)

Values from the calculation:
total moment	0.00	μB per atom
DOS(E_F)	10.16	states/eV/f.u.
raw total energy	-4.10	eV per atom